[1]
Density functional theory data (PBE) for a relaxed BeSiBr crystal.

Lattice parameters (Å, degrees): 3.1865 3.1865 7.3970 90.00 90.00 120.00
Closest atoms and distances in Å follow each position.
Space group P3m1 (No. 156)
One atom of each set of equivalent atoms:
Be: 0.0000 0.0000 0.0000 x1  3 Br 2.29
Si: 0.6667 0.3333 0.7556 x1  3 Be 2.58
Br: 0.3333 0.6667 0.1843 x1  3 Be 2.29

N(E_F)   2.272 states/eV/cell
Uncorrected formation energy   8.5 kcal/mol of atoms
Polymorph energy (0 for the lowest one)   56.7 meV per atom
Density   2.987 g/cm³
E_tot   -9.71 eV per formula unit
Crystal system   trigonal

---

[2]
Density functional theory data (PBE) for a relaxed CoMo2Cl crystal.

Lattice parameters (Å, degrees): 2.8245 2.8245 7.8594 90.00 90.00 90.00
Closest atoms and distances in Å follow each position.
Space group P4mm (No. 99)
One atom of each set of equivalent atoms:
Co: 0.0000 0.0000 0.0000 x1  4 Mo 2.51
Mo: 0.0000 0.0000 0.4639 x1  4 Cl 2.62, 8 Mo 2.82-2.91
Mo: 0.5000 0.5000 0.1944 x1  4 Co 2.51
Cl: 0.5000 0.5000 0.6803 x1  4 Mo 2.62, 4 Cl 2.82

N(E_F)   2.926 states/eV/cell
Uncorrected formation energy   8.4 kcal/mol of atoms
Polymorph energy (0 for the lowest one)   88.4 meV per atom
Density   7.581 g/cm³
E_tot   -29.15 eV per formula unit
Crystal system   tetragonal

---

[3]
Density functional theory data (PBE) for a relaxed TlRuPt2 crystal.

Lattice parameters (Å, degrees): 3.9189 3.9189 19.0419 90.00 90.00 90.00
Closest atoms and distances in Å follow each position.
Space group I-42d (No. 122)
One atom of each set of equivalent atoms:
Tl: 0.0000 0.0000 0.0000 x4  4 Ru 2.77, 4 Pt 2.78
Ru: 0.0000 0.0000 0.5000 x4  4 Pt 2.73, 4 Tl 2.77
Pt: 0.2320 0.2500 0.6250 x8  4 Pt 2.67-2.87, 2 Ru 2.73, 2 Tl 2.78

N(E_F)   18.537 states/eV/cell
Polymorph energy (0 for the lowest one)   281.9 meV per atom
Density   15.800 g/cm³
Energy of formation from the pure elements   504 meV per atom
E_tot   -21.71 eV per formula unit
Crystal system   tetragonal

---

[4]
Density functional theory data (PBE) for a relaxed ZnRe2BPt crystal.

Lattice parameters (Å, degrees): 4.9215 4.9215 3.8822 90.00 90.00 90.00
Closest atoms and distances in Å follow each position.
Space group P4/mmm (No. 123)
One atom of each set of equivalent atoms:
Zn: 0.0000 0.0000 0.0000 x1  8 Re 3.13, 4 B 3.48
Re: 0.0000 0.5000 0.5000 x2  2 Pt 2.46
B: 0.5000 0.5000 0.0000 x1  2 Pt 1.94
Pt: 0.5000 0.5000 0.5000 x1  2 B 1.94

N(E_F)   6.096 states/eV/cell
Density   11.367 g/cm³
Energy of formation from the pure elements   1954 meV per atom
E_tot   -29.12 eV per formula unit
Crystal system   tetragonal

---

[5]
Density functional theory data (PBE) for a relaxed CaLa3Hg2 crystal.

Lattice parameters (Å, degrees): 5.4152 9.8398 7.2077 90.00 90.00 90.00
Closest atoms and distances in Å follow each position.
Space group Pmc2_1 (No. 26)
One atom of each set of equivalent atoms:
Ca: 0.0000 0.0482 0.0000 x2  3 Hg 3.33-3.40, 3 La 3.66-3.68
La: 0.0000 0.3301 0.6686 x2  4 Hg 3.21-3.30
La: 0.5000 0.1701 0.3023 x2  4 Hg 3.16-3.25
La: 0.5000 0.4418 0.9797 x2  3 Hg 3.32-3.37, 3 La 3.54-3.68
Hg: 0.0000 0.3441 0.2235 x2  6 La 3.21-3.37, 1 Ca 3.33
Hg: 0.5000 0.1490 0.7511 x2  5 La 3.16-3.32, 2 Ca 3.40

N(E_F)   11.681 states/eV/cell
Density   7.419 g/cm³
Energy of formation from the pure elements   -363 meV per atom
E_tot   -19.56 eV per formula unit
Crystal system   orthorhombic

---

[6]
Density functional theory data (PBE) for a relaxed Ti3BSb crystal.

Lattice parameters (Å, degrees): 4.3148 4.3148 4.3148 90.00 90.00 90.00
Closest atoms and distances in Å follow each position.
Space group Pm-3m (No. 221)
One atom of each set of equivalent atoms:
Ti: 0.0000 0.0000 0.5000 x3  2 B 2.16
B: 0.0000 0.0000 0.0000 x1  6 Ti 2.16
Sb: 0.5000 0.5000 0.5000 x1  12 Ti 3.05

N(E_F)   3.879 states/eV/cell
Uncorrected formation energy   -10.4 kcal/mol of atoms
Polymorph energy (0 for the lowest one)   66.3 meV per atom
Density   5.709 g/cm³
E_tot   -36.73 eV per formula unit
Crystal system   cubic

---

[7]
Density functional theory data (PBE) for a relaxed PuU2P3 crystal.

Lattice parameters (Å, degrees): 3.7297 10.3987 6.6895 90.00 90.00 90.00
Closest atoms and distances in Å follow each position.
Space group Pmc2_1 (No. 26)
One atom of each set of equivalent atoms:
Pu: 0.0000 0.1591 0.0000 x2  7 P 2.83-3.11, 1 U 3.16
U: 0.0000 0.1443 0.4800 x2  7 P 2.85-3.01, 1 Pu 3.16
U: 0.5000 0.4974 0.9933 x2  6 P 2.73-2.86
P: 0.0000 0.3716 0.7358 x2  5 U 2.82-2.92, 1 Pu 2.83
P: 0.5000 0.0230 0.7412 x2  4 U 2.85-3.01, 4 Pu 2.91-3.11
P: 0.5000 0.2905 0.2522 x2  4 U 2.73-2.85, 2 Pu 2.86

N(E_F)   25.545 states/eV/cell
Polymorph energy (0 for the lowest one)   231.5 meV per atom
Density   10.407 g/cm³
Energy of formation from the pure elements   -785 meV per atom
E_tot   -57.85 eV per formula unit
Crystal system   orthorhombic

---

[8]
Density functional theory data (PBE) for a relaxed Tb12Pm7Ho crystal.

Lattice parameters (Å, degrees): 12.0192 12.0192 16.2250 90.00 90.00 120.00
Closest atoms and distances in Å follow each position.
Space group R-3 (No. 148, hexagonal axes)
One atom of each set of equivalent atoms:
Tb: 0.0256 0.4502 0.2226 x18  4 Tb 3.27-3.63, 1 Ho 3.41, 2 Pm 3.52-3.61
Tb: 0.0517 0.5862 0.5824 x18  4 Tb 3.23-3.44, 2 Pm 3.31-3.49
Pm: 0.0000 0.0000 0.0000 x3  6 Tb 3.31
Pm: 0.0566 0.1884 0.2899 x18  3 Pm 3.45-3.49, 7 Tb 3.49-3.82
Ho: 0.0000 0.0000 0.5000 x3  6 Tb 3.41

N(E_F)   110.666 states/eV/cell
Polymorph energy (0 for the lowest one)   0.0 meV per atom
Density   7.576 g/cm³
Energy of formation from the pure elements   233 meV per atom
E_tot   -88.74 eV per formula unit
Crystal system   trigonal

---

[9]
Density functional theory data (PBE) for a relaxed ScReAu2 crystal.

Lattice parameters (Å, degrees): 9.7823 2.8983 5.0218 90.00 99.93 90.00
Closest atoms and distances in Å follow each position.
Space group C2/m (No. 12)
One atom of each set of equivalent atoms:
Sc: 0.0000 0.0000 0.0000 x2  6 Au 2.89-3.00, 2 Sc 2.90, 4 Re 2.90
Re: 0.0000 0.5000 0.5000 x2  6 Au 2.86-2.98, 2 Re 2.90, 4 Sc 2.90
Au: 0.2423 0.0000 0.7417 x4  6 Au 2.85-2.95, 3 Re 2.86-2.98, 3 Sc 2.89-3.00

N(E_F)   8.417 states/eV/cell
Polymorph energy (0 for the lowest one)   132.9 meV per atom
Density   14.803 g/cm³
Energy of formation from the pure elements   79 meV per atom
E_tot   -25.02 eV per formula unit
Crystal system   monoclinic

---

[10]
Density functional theory data (PBE) for a relaxed PmEr9Sc2 crystal.

Lattice parameters (Å, degrees): 4.9230 4.9230 14.7538 90.00 90.00 90.00
Closest atoms and distances in Å follow each position.
Space group P4/mmm (No. 123)
One atom of each set of equivalent atoms:
Pm: 0.0000 0.0000 0.0000 x1  12 Er 3.48-3.54
Er: 0.0000 0.5000 0.1725 x4  2 Sc 3.44, 8 Er 3.46-3.54, 2 Pm 3.54
Er: 0.0000 0.5000 0.5000 x2  8 Er 3.44-3.48, 4 Sc 3.45
Er: 0.5000 0.5000 0.0000 x1  4 Pm 3.48, 8 Er 3.54
Er: 0.5000 0.5000 0.3372 x2  8 Er 3.44-3.46, 4 Sc 3.48
Sc: 0.0000 0.0000 0.3358 x2  12 Er 3.44-3.48

N(E_F)   18.390 states/eV/cell
Polymorph energy (0 for the lowest one)   4.3 meV per atom
Density   8.082 g/cm³
Energy of formation from the pure elements   39 meV per atom
E_tot   -58.01 eV per formula unit
Crystal system   tetragonal

---

[11]
Density functional theory data (PBE) for a relaxed Pm2PdS crystal.

Lattice parameters (Å, degrees): 4.0159 4.0159 21.4878 90.00 90.00 120.00
Closest atoms and distances in Å follow each position.
Space group R-3m (No. 166, hexagonal axes)
One atom of each set of equivalent atoms:
Pm: 0.0000 0.0000 0.2493 x6  3 S 2.92, 3 Pd 2.94
Pd: 0.0000 0.0000 0.0000 x3  6 Pm 2.94
S: 0.0000 0.0000 0.5000 x3  6 Pm 2.92

N(E_F)   9.456 states/eV/cell
Uncorrected formation energy   -29.9 kcal/mol of atoms
Polymorph energy (0 for the lowest one)   111.3 meV per atom
Density   7.112 g/cm³
E_tot   -24.01 eV per formula unit
Crystal system   trigonal

---

[12]
Density functional theory data (PBE) for a relaxed Cs2TiGaS4 crystal.

Lattice parameters (Å, degrees): 6.2179 14.0861 25.0535 90.00 90.00 90.00
Closest atoms and distances in Å follow each position.
Space group Fddd (No. 70, origin choice 2)
One atom of each set of equivalent atoms:
Cs: 0.1250 0.1250 0.3021 x16  8 S 3.78-3.92
Ti: 0.1250 0.1250 0.1250 x8  4 S 2.32
Ga: 0.1250 0.1250 0.6250 x8  4 S 2.35
S: 0.1218 0.2865 0.4233 x32  1 Ti 2.32, 1 Ga 2.35

N(E_F)   16.149 states/eV/cell
Uncorrected formation energy   -26.9 kcal/mol of atoms
Density   3.098 g/cm³
E_tot   -38.48 eV per formula unit
Crystal system   orthorhombic